A relaxed DyTm4Sc8 crystal, computed with PBE.

CIF file:
```
data_DyTm4Sc8
_chemical_formula_sum 'Dy3 Tm12 Sc24'
_cell_length_a 10.3760
_cell_length_b 10.3760
_cell_length_c 12.6823
_cell_angle_alpha 90.00
_cell_angle_beta 90.00
_cell_angle_gamma 120.00
_symmetry_space_group_name_H-M 'R -3 m'
_symmetry_Int_Tables_number 166
_symmetry_space_group_name_Hall '-R 3 2"'
loop_
_atom_site_label
_atom_site_fract_x
_atom_site_fract_y
_atom_site_fract_z
_atom_site_occupancy
Dy1 0.0000 0.0000 0.0000 1
Tm1 0.0000 0.0000 0.5000 1
Tm2 0.0000 0.5000 0.5000 1
Sc1 0.0000 0.0000 0.2597 1
Sc2 0.0126 0.5063 0.2463 1
```

Energy of formation from the pure elements in eV per atom: 0.5928


A relaxed SrH3Pt crystal, computed with PBE.

CIF file:
```
data_SrH3Pt
_chemical_formula_sum 'Sr4 H12 Pt4'
_cell_length_a 11.713
_cell_length_b 3.730
_cell_length_c 5.950
_cell_angle_alpha 90.00
_cell_angle_beta 90.38
_cell_angle_gamma 90.00
_symmetry_space_group_name_H-M 'C 1 2/m 1'
_symmetry_Int_Tables_number 12
loop_
_symmetry_equiv_pos_as_xyz
'x,y,z'
'-x,-y,-z'
'-x,y,-z'
'x,-y,z'
'x+1/2,y+1/2,z'
'-x+1/2,-y+1/2,-z'
'-x+1/2,y+1/2,-z'
'x+1/2,-y+1/2,z'
loop_
_atom_site_label
_atom_site_fract_x
_atom_site_fract_y
_atom_site_fract_z
_atom_site_occupancy
Sr1 0.147 0.000 0.262 1
H1 0.021 0.000 0.949 1
H2 0.084 0.000 0.665 1
H3 0.159 0.500 0.920 1
Pt1 0.081 0.500 0.671 1
```

Raw total energy in eV per atom: -3.91


A relaxed Sc4RuAu crystal, computed with PBE.

CIF file:
```
data_Sc4RuAu
_chemical_formula_sum 'Sc4 Ru1 Au1'
_cell_length_a 3.288
_cell_length_b 3.288
_cell_length_c 11.540
_cell_angle_alpha 90.00
_cell_angle_beta 90.00
_cell_angle_gamma 90.00
_symmetry_space_group_name_H-M 'P 4/m m m'
_symmetry_Int_Tables_number 123
_symmetry_space_group_name_Hall '-P 4 2'
loop_
_atom_site_label
_atom_site_fract_x
_atom_site_fract_y
_atom_site_fract_z
_atom_site_occupancy
Sc1 0.000 0.000 0.131 1
Sc2 0.500 0.500 0.348 1
Ru1 0.500 0.500 0.000 1
Au1 0.000 0.000 0.500 1
```

ΔE to the lowest computed polymorph in meV per atom: 0
Energy of formation from the pure elements in eV per atom: -0.4563


A relaxed ZnCu3Pt6 crystal, computed with PBE.

CIF file:
```
data_ZnCu3Pt6
_chemical_formula_sum 'Zn2 Cu6 Pt12'
_cell_length_a 7.228
_cell_length_b 4.505
_cell_length_c 9.569
_cell_angle_alpha 90.00
_cell_angle_beta 111.39
_cell_angle_gamma 90.00
_symmetry_space_group_name_H-M 'P 1 21/m 1'
_symmetry_Int_Tables_number 11
loop_
_symmetry_equiv_pos_as_xyz
'x,y,z'
'-x,-y,-z'
'-x,y+1/2,-z'
'x,-y+1/2,z'
loop_
_atom_site_label
_atom_site_fract_x
_atom_site_fract_y
_atom_site_fract_z
_atom_site_occupancy
Zn1 0.111 0.250 0.073 1
Cu1 0.100 0.750 0.724 1
Cu2 0.294 0.750 0.529 1
Cu3 0.315 0.250 0.869 1
Pt1 0.075 0.750 0.224 1
Pt2 0.109 0.250 0.570 1
Pt3 0.281 0.750 0.016 1
Pt4 0.300 0.250 0.369 1
Pt5 0.487 0.750 0.326 1
Pt6 0.496 0.750 0.830 1
```

Energy of formation from the pure elements in eV per atom: -0.1758


A relaxed CoRe2W crystal, computed with PBE.

CIF file:
```
data_CoRe2W
_chemical_formula_sum 'Co1 Re2 W1'
_cell_length_a 2.747
_cell_length_b 3.800
_cell_length_c 5.477
_cell_angle_alpha 90.00
_cell_angle_beta 90.00
_cell_angle_gamma 90.00
_symmetry_space_group_name_H-M 'P m m 2'
_symmetry_Int_Tables_number 25
loop_
_symmetry_equiv_pos_as_xyz
'x,y,z'
'-x,-y,z'
'-x,y,z'
'x,-y,z'
loop_
_atom_site_label
_atom_site_fract_x
_atom_site_fract_y
_atom_site_fract_z
_atom_site_occupancy
Co1 0.000 0.000 0.000 1
Re1 0.000 0.000 0.488 1
Re2 0.500 0.500 0.243 1
W1 0.500 0.500 0.764 1
```

ΔE to the lowest computed polymorph in meV per atom: 79
Energy of formation from the pure elements in eV per atom: 0.1235


A relaxed Ti2BeTl2 crystal, computed with PBE.

CIF file:
```
data_Ti2BeTl2
_chemical_formula_sum 'Ti4 Be2 Tl4'
_cell_length_a 4.065
_cell_length_b 4.065
_cell_length_c 12.945
_cell_angle_alpha 90.00
_cell_angle_beta 90.00
_cell_angle_gamma 90.00
_symmetry_space_group_name_H-M 'I 4/m m m'
_symmetry_Int_Tables_number 139
_symmetry_space_group_name_Hall '-I 4 2'
loop_
_atom_site_label
_atom_site_fract_x
_atom_site_fract_y
_atom_site_fract_z
_atom_site_occupancy
Ti1 0.000 0.000 0.078 1
Be1 0.000 0.000 0.500 1
Tl1 0.000 0.500 0.250 1
```

ΔE to the lowest computed polymorph in meV per atom: 468
Energy of formation from the pure elements in eV per atom: 0.8000


A relaxed Zr2BeSb crystal, computed with PBE.

CIF file:
```
data_Zr2BeSb
_chemical_formula_sum 'Zr2 Be1 Sb1'
_cell_length_a 3.309
_cell_length_b 3.309
_cell_length_c 7.301
_cell_angle_alpha 90.00
_cell_angle_beta 90.00
_cell_angle_gamma 90.00
_symmetry_space_group_name_H-M 'P 4 m m'
_symmetry_Int_Tables_number 99
loop_
_symmetry_equiv_pos_as_xyz
'x,y,z'
'-y,x,z'
'-x,-y,z'
'y,-x,z'
'-x,y,z'
'y,x,z'
'x,-y,z'
'-y,-x,z'
loop_
_atom_site_label
_atom_site_fract_x
_atom_site_fract_y
_atom_site_fract_z
_atom_site_occupancy
Zr1 0.000 0.000 0.000 1
Zr2 0.500 0.500 0.308 1
Be1 0.000 0.000 0.524 1
Sb1 0.500 0.500 0.719 1
```

Energy relative to the elements, uncorrected in eV per atom: 0.0252
ΔE to the lowest computed polymorph in meV per atom: 542


A relaxed BaTa2Be crystal, computed with PBE.

CIF file:
```
data_BaTa2Be
_chemical_formula_sum 'Ba3 Ta6 Be3'
_cell_length_a 3.9990
_cell_length_b 3.9990
_cell_length_c 21.1637
_cell_angle_alpha 90.00
_cell_angle_beta 90.00
_cell_angle_gamma 120.00
_symmetry_space_group_name_H-M 'R -3 m'
_symmetry_Int_Tables_number 166
_symmetry_space_group_name_Hall '-R 3 2"'
loop_
_atom_site_label
_atom_site_fract_x
_atom_site_fract_y
_atom_site_fract_z
_atom_site_occupancy
Ba1 0.0000 0.0000 0.0000 1
Ta1 0.0000 0.0000 0.2039 1
Be1 0.0000 0.0000 0.5000 1
```

Energy of formation from the pure elements in eV per atom: 0.6549


A relaxed PmIn2Br8 crystal, computed with PBE.

CIF file:
```
data_PmIn2Br8
_chemical_formula_sum 'Pm2 In4 Br16'
_cell_length_a 14.508
_cell_length_b 9.071
_cell_length_c 7.197
_cell_angle_alpha 90.00
_cell_angle_beta 98.46
_cell_angle_gamma 90.00
_symmetry_space_group_name_H-M 'C 1 2/m 1'
_symmetry_Int_Tables_number 12
loop_
_symmetry_equiv_pos_as_xyz
'x,y,z'
'-x,-y,-z'
'-x,y,-z'
'x,-y,z'
'x+1/2,y+1/2,z'
'-x+1/2,-y+1/2,-z'
'-x+1/2,y+1/2,-z'
'x+1/2,-y+1/2,z'
loop_
_atom_site_label
_atom_site_fract_x
_atom_site_fract_y
_atom_site_fract_z
_atom_site_occupancy
Pm1 0.000 0.000 0.000 1
In1 0.187 0.000 0.639 1
Br1 0.085 0.212 0.775 1
Br2 0.141 0.500 0.233 1
Br3 0.174 0.000 0.260 1
```

Energy relative to the elements, uncorrected in eV per atom: -1.0664


A relaxed LiNdSmTe3 crystal, computed with PBE.

CIF file:
```
data_LiNdSmTe3
_chemical_formula_sum 'Li2 Nd2 Sm2 Te6'
_cell_length_a 9.117
_cell_length_b 4.307
_cell_length_c 9.598
_cell_angle_alpha 90.00
_cell_angle_beta 103.32
_cell_angle_gamma 90.00
_symmetry_space_group_name_H-M 'P 1 21/m 1'
_symmetry_Int_Tables_number 11
loop_
_symmetry_equiv_pos_as_xyz
'x,y,z'
'-x,-y,-z'
'-x,y+1/2,-z'
'x,-y+1/2,z'
loop_
_atom_site_label
_atom_site_fract_x
_atom_site_fract_y
_atom_site_fract_z
_atom_site_occupancy
Li1 0.085 0.250 0.086 1
Nd1 0.186 0.250 0.730 1
Sm1 0.333 0.750 0.339 1
Te1 0.089 0.250 0.375 1
Te2 0.227 0.750 0.997 1
Te3 0.426 0.750 0.678 1
```

Energy relative to the elements, uncorrected in eV per atom: -1.3020


A relaxed AcZnCo crystal, computed with PBE.

CIF file:
```
data_AcZnCo
_chemical_formula_sum 'Ac1 Zn1 Co1'
_cell_length_a 4.2805
_cell_length_b 4.2805
_cell_length_c 4.2744
_cell_angle_alpha 90.00
_cell_angle_beta 90.00
_cell_angle_gamma 120.00
_symmetry_space_group_name_H-M 'P -6 m 2'
_symmetry_Int_Tables_number 187
_symmetry_space_group_name_Hall 'P -6 2'
loop_
_atom_site_label
_atom_site_fract_x
_atom_site_fract_y
_atom_site_fract_z
_atom_site_occupancy
Ac1 0.0000 0.0000 0.0000 1
Zn1 0.3333 0.6667 0.5000 1
Co1 0.6667 0.3333 0.5000 1
```

ΔE to the lowest computed polymorph in meV per atom: 40
Energy of formation from the pure elements in eV per atom: -0.0919


A relaxed MnGaSiS crystal, computed with PBE.

CIF file:
```
data_MnGaSiS
_chemical_formula_sum 'Mn1 Ga1 Si1 S1'
_cell_length_a 2.832
_cell_length_b 4.059
_cell_length_c 6.004
_cell_angle_alpha 71.26
_cell_angle_beta 83.73
_cell_angle_gamma 71.10
_symmetry_space_group_name_H-M 'P 1'
_symmetry_Int_Tables_number 1
loop_
_symmetry_equiv_pos_as_xyz
'x,y,z'
loop_
_atom_site_label
_atom_site_fract_x
_atom_site_fract_y
_atom_site_fract_z
_atom_site_occupancy
Mn1 0.000 0.000 0.000 1
Ga1 0.450 0.846 0.398 1
Si1 0.474 0.216 0.666 1
S1 0.706 0.560 0.038 1
```

Energy relative to the elements, uncorrected in eV per atom: -0.0604
ΔE to the lowest computed polymorph in meV per atom: 91